# 1
# Sm8Ni3RhI4, relaxed, DFT GGA-PBE
data_Sm8Ni3RhI4
_cell_length_a 8.2104
_cell_length_b 9.3036
_cell_length_c 8.2125
_cell_angle_alpha 116.21
_cell_angle_beta 119.99
_cell_angle_gamma 90.00
_symmetry_space_group_name_H-M 'P 1'
_symmetry_Int_Tables_number 1
_symmetry_space_group_name_Hall 'P 1'
loop_
_atom_site_label
_atom_site_fract_x
_atom_site_fract_y
_atom_site_fract_z
I1 0.0000 0.0000 0.5000
I2 0.5000 0.0000 0.5000
I3 0.0000 0.0000 0.0000
I4 0.5000 0.0000 0.0000
Sm1 0.7704 0.3174 0.0463
Sm2 0.7269 0.6804 0.4538
Sm3 0.2759 0.3174 0.0463
Sm4 0.2731 0.3196 0.5462
Sm5 0.2296 0.6826 0.9537
Sm6 0.2293 0.6822 0.4585
Sm7 0.7707 0.3178 0.5415
Sm8 0.7241 0.6826 0.9537
Ni1 0.0000 0.5000 0.5000
Ni2 0.5000 0.5000 0.5000
Ni3 0.5000 0.5000 0.0000
Rh1 0.0000 0.5000 0.0000
# D(E_F)	10.28	states/eV/f.u.
# SG	R-3m (166)
# formation energy (no corrections)	-0.741	eV per atom
# V	29.21	Å³ per atom
# energy	-80.50	eV/cell



# 2
# Fe2CuBi2, relaxed, DFT GGA-PBE
data_Fe2CuBi2
_cell_length_a 7.5283
_cell_length_b 7.5283
_cell_length_c 3.1612
_cell_angle_alpha 90.00
_cell_angle_beta 90.00
_cell_angle_gamma 90.00
_symmetry_space_group_name_H-M 'P 1'
_symmetry_Int_Tables_number 1
_symmetry_space_group_name_Hall 'P 1'
loop_
_atom_site_label
_atom_site_fract_x
_atom_site_fract_y
_atom_site_fract_z
Bi1 0.8379 0.6621 0.0000
Bi2 0.6621 0.1621 0.0000
Bi3 0.3379 0.8379 0.0000
Bi4 0.1621 0.3379 0.0000
Cu1 0.0000 0.0000 0.0000
Cu2 0.5000 0.5000 0.0000
Fe1 0.3661 0.1339 0.5000
Fe2 0.8661 0.3661 0.5000
Fe3 0.6339 0.8661 0.5000
Fe4 0.1339 0.6339 0.5000
# D(E_F)	8.30	states/eV/f.u.
# energy above the lowest structure with this stoichiometry	37.7	kJ/mol of atoms
# SG	P4/mbm (127)
# V	17.92	Å³ per atom
# energy	-49.41	eV/cell
# energy of formation	816	meV per atom